--- A ---
# TcMoPO2 (PBE+U, relaxed)
data_TcMoPO2
_cell_length_a 3.8158
_cell_length_b 3.8158
_cell_length_c 5.4731
_cell_angle_alpha 90.00
_cell_angle_beta 90.00
_cell_angle_gamma 90.00
_symmetry_space_group_name_H-M 'P 4/m m m'
_symmetry_Int_Tables_number 123
_symmetry_space_group_name_Hall '-P 4 2'
loop_
_atom_site_label
_atom_site_fract_x
_atom_site_fract_y
_atom_site_fract_z
_atom_site_occupancy
Tc1 0.0000 0.0000 0.0000 1
Mo1 0.5000 0.5000 0.5000 1
P1 0.5000 0.5000 0.0000 1
O1 0.0000 0.5000 0.5000 1
# calculated density: 5.4 Mg/m³
# crystal system: tetragonal
# Fermi-level density of states: 0.62 states/eV/atom
# volume: 15.938 Å³/atom

=====

--- B ---
# TcMoPO2 (PBE+U, relaxed)
data_TcMoPO2
_cell_length_a 3.7707
_cell_length_b 3.7707
_cell_length_c 5.4276
_cell_angle_alpha 90.00
_cell_angle_beta 90.00
_cell_angle_gamma 90.00
_symmetry_space_group_name_H-M 'P 4/m m m'
_symmetry_Int_Tables_number 123
_symmetry_space_group_name_Hall '-P 4 2'
loop_
_atom_site_label
_atom_site_fract_x
_atom_site_fract_y
_atom_site_fract_z
_atom_site_occupancy
Tc1 0.0000 0.0000 0.0000 1
Mo1 0.5000 0.5000 0.5000 1
P1 0.0000 0.0000 0.5000 1
O1 0.0000 0.5000 0.0000 1
# calculated density: 5.5 Mg/m³
# crystal system: tetragonal
# Fermi-level density of states: 0.59 states/eV/atom
# volume: 15.434 Å³/atom

=====

Energetically preferred structure: B | next structure: +235 meV/atom

=====

--- A ---
# TiMoP2O (PBE+U, relaxed)
data_TiMoP2O
_cell_length_a 4.8574
_cell_length_b 4.8574
_cell_length_c 3.7328
_cell_angle_alpha 90.00
_cell_angle_beta 90.00
_cell_angle_gamma 90.00
_symmetry_space_group_name_H-M 'P 4/m m m'
_symmetry_Int_Tables_number 123
_symmetry_space_group_name_Hall '-P 4 2'
loop_
_atom_site_label
_atom_site_fract_x
_atom_site_fract_y
_atom_site_fract_z
_atom_site_occupancy
Ti1 0.0000 0.0000 0.0000 1
Mo1 0.5000 0.5000 0.5000 1
P1 0.0000 0.5000 0.5000 1
O1 0.5000 0.5000 0.0000 1
# calculated density: 4.2 Mg/m³
# crystal system: tetragonal
# Fermi-level density of states: 0.80 states/eV/atom
# volume: 17.615 Å³/atom

=====

--- B ---
# TiMoP2O (PBE+U, relaxed)
data_TiMoP2O
_cell_length_a 4.8930
_cell_length_b 4.8930
_cell_length_c 3.6670
_cell_angle_alpha 90.00
_cell_angle_beta 90.00
_cell_angle_gamma 90.00
_symmetry_space_group_name_H-M 'P 4/m m m'
_symmetry_Int_Tables_number 123
_symmetry_space_group_name_Hall '-P 4 2'
loop_
_atom_site_label
_atom_site_fract_x
_atom_site_fract_y
_atom_site_fract_z
_atom_site_occupancy
Ti1 0.0000 0.0000 0.0000 1
Mo1 0.5000 0.5000 0.5000 1
P1 0.0000 0.5000 0.0000 1
O1 0.0000 0.0000 0.5000 1
# calculated density: 4.2 Mg/m³
# crystal system: tetragonal
# Fermi-level density of states: 0.44 states/eV/atom
# volume: 17.558 Å³/atom

=====

Energetically preferred structure: B | next structure: +321 meV/atom